[1]
Below is a relaxed ZnCu3Rh crystal, with properties calculated at the PBE-GGA level.

Computed properties:
The raw total energy comes out at -15.8 eV/cell. The calculation puts the mass density at 6.01 g/cm3. Its space group is No. 221. As for the crystal system: cubic. As for the energy relative to the lowest polymorph listed for this composition: 0.135 eV per atom. Its formation energy is 1.02 eV per atom.

Cell lengths 4.6280, 4.6280, 4.6280 Å; angles 90.00, 90.00, 90.00 degrees
Closest atoms and distances in Å follow each position.
Atoms (fractional coordinates):
Zn1 0.0000 0.0000 0.0000  12 Cu 3.27
Cu1 0.0000 0.5000 0.5000  2 Rh 2.31
Cu2 0.5000 0.0000 0.5000  2 Rh 2.31
Cu3 0.5000 0.5000 0.0000  2 Rh 2.31
Rh1 0.5000 0.5000 0.5000  6 Cu 2.31


[2]
Below is a relaxed Zn2CuRh crystal, with properties calculated at the PBE-GGA level.

Computed properties:
The raw total energy comes out at -55.4 eV/cell. The calculation puts the mass density at 8.39 g/cm3. Its space group is No. 122. As for the crystal system: tetragonal. Its formation energy is 0.03 eV per atom.

Cell lengths 6.7175, 6.7175, 5.2130 Å; angles 90.00, 90.00, 90.00 degrees
Closest atoms and distances in Å follow each position.
Atoms (fractional coordinates):
Zn1 0.2389 0.7500 0.1250  2 Cu 2.41, 2 Rh 2.51, 2 Zn 2.61
Zn2 0.2500 0.2389 0.8750  2 Cu 2.41, 2 Rh 2.51, 2 Zn 2.61
Zn3 0.2500 0.2611 0.3750  2 Cu 2.41, 2 Rh 2.51, 2 Zn 2.61
Zn4 0.2611 0.7500 0.6250  2 Cu 2.41, 2 Rh 2.51, 2 Zn 2.61
Zn5 0.7389 0.2500 0.6250  2 Cu 2.41, 2 Rh 2.51, 2 Zn 2.61
Zn6 0.7500 0.7389 0.3750  2 Cu 2.41, 2 Rh 2.51, 2 Zn 2.61
Zn7 0.7500 0.7611 0.8750  2 Cu 2.41, 2 Rh 2.51, 2 Zn 2.61
Zn8 0.7611 0.2500 0.1250  2 Cu 2.41, 2 Rh 2.51, 2 Zn 2.61
Cu1 0.0000 0.0000 0.0000  4 Zn 2.41, 2 Rh 2.61
Cu2 0.0000 0.5000 0.2500  4 Zn 2.41, 2 Rh 2.61
Cu3 0.5000 0.0000 0.7500  4 Zn 2.41, 2 Rh 2.61
Cu4 0.5000 0.5000 0.5000  4 Zn 2.41, 2 Rh 2.61
Rh1 0.0000 0.0000 0.5000  4 Zn 2.51, 2 Cu 2.61
Rh2 0.0000 0.5000 0.7500  4 Zn 2.51, 2 Cu 2.61
Rh3 0.5000 0.0000 0.2500  4 Zn 2.51, 2 Cu 2.61
Rh4 0.5000 0.5000 0.0000  4 Zn 2.51, 2 Cu 2.61


[3]
Below is a relaxed Zn4Cu3Rh crystal, with properties calculated at the PBE-GGA level.

Computed properties:
The raw total energy comes out at -52.3 eV/cell. The calculation puts the mass density at 8.66 g/cm3. Its space group is No. 51. As for the crystal system: orthorhombic. Its formation energy is -0.18 eV per atom.

Cell lengths 8.6297, 5.5836, 4.4210 Å; angles 90.00, 90.00, 90.00 degrees
Closest atoms and distances in Å follow each position.
Atoms (fractional coordinates):
Zn1 0.0000 0.2472 0.0000  6 Cu 2.61-2.62, 2 Rh 2.62, 4 Zn 2.76-2.82
Zn2 0.0000 0.7528 0.0000  6 Cu 2.61-2.62, 2 Rh 2.62, 4 Zn 2.76-2.82
Zn3 0.2500 0.2467 0.3987  6 Cu 2.56-2.65, 2 Rh 2.62, 4 Zn 2.75-2.83
Zn4 0.2500 0.7533 0.3987  6 Cu 2.56-2.65, 2 Rh 2.62, 4 Zn 2.75-2.83
Zn5 0.5000 0.2472 0.0000  6 Cu 2.61-2.62, 2 Rh 2.62, 4 Zn 2.76-2.82
Zn6 0.5000 0.7528 0.0000  6 Cu 2.61-2.62, 2 Rh 2.62, 4 Zn 2.76-2.82
Zn7 0.7500 0.2467 0.6013  6 Cu 2.56-2.65, 2 Rh 2.62, 4 Zn 2.75-2.83
Zn8 0.7500 0.7533 0.6013  6 Cu 2.56-2.65, 2 Rh 2.62, 4 Zn 2.75-2.83
Cu1 0.0000 0.0000 0.5000  8 Zn 2.60-2.61, 2 Cu 2.75, 2 Rh 2.79
Cu2 0.2500 0.0000 0.8869  8 Zn 2.56-2.65, 4 Cu 2.75-2.79
Cu3 0.2500 0.5000 0.8961  8 Zn 2.61-2.63, 2 Rh 2.78, 2 Cu 2.79
Cu4 0.5000 0.0000 0.5000  8 Zn 2.60-2.61, 2 Cu 2.75, 2 Rh 2.79
Cu5 0.7500 0.0000 0.1131  8 Zn 2.56-2.65, 4 Cu 2.75-2.79
Cu6 0.7500 0.5000 0.1039  8 Zn 2.61-2.63, 2 Rh 2.78, 2 Cu 2.79
Rh1 0.0000 0.5000 0.5000  8 Zn 2.62, 4 Cu 2.78-2.79
Rh2 0.5000 0.5000 0.5000  8 Zn 2.62, 4 Cu 2.78-2.79


[4]
Below is a relaxed ZnCu2Rh3 crystal, with properties calculated at the PBE-GGA level.

Computed properties:
The raw total energy comes out at -63.4 eV/cell. The calculation puts the mass density at 10.25 g/cm3. Its space group is No. 13. As for the crystal system: monoclinic. Its formation energy is -0.03 eV per atom.

Cell lengths 5.1700, 4.4301, 7.1102 Å; angles 90.00, 93.99, 90.00 degrees
Closest atoms and distances in Å follow each position.
Atoms (fractional coordinates):
Zn1 0.0000 0.1826 0.2500  8 Rh 2.61-2.65, 4 Cu 2.71-2.85
Zn2 0.0000 0.8174 0.7500  8 Rh 2.61-2.65, 4 Cu 2.71-2.85
Cu1 0.3375 0.1850 0.5852  8 Rh 2.61-2.67, 2 Cu 2.69-2.79, 2 Zn 2.71-2.85
Cu2 0.3375 0.8150 0.0852  8 Rh 2.61-2.67, 2 Cu 2.69-2.79, 2 Zn 2.71-2.85
Cu3 0.6625 0.1850 0.9148  8 Rh 2.61-2.67, 2 Cu 2.69-2.79, 2 Zn 2.71-2.85
Cu4 0.6625 0.8150 0.4148  8 Rh 2.61-2.67, 2 Cu 2.69-2.79, 2 Zn 2.71-2.85
Rh1 0.1667 0.3130 0.9172  3 Zn 2.61-2.65, 5 Cu 2.63-2.67, 4 Rh 2.72-2.84
Rh2 0.1667 0.6870 0.4172  3 Zn 2.61-2.65, 5 Cu 2.63-2.67, 4 Rh 2.72-2.84
Rh3 0.5000 0.3139 0.2500  6 Cu 2.61-2.64, 2 Zn 2.65, 4 Rh 2.72-2.83
Rh4 0.5000 0.6861 0.7500  6 Cu 2.61-2.64, 2 Zn 2.65, 4 Rh 2.72-2.83
Rh5 0.8333 0.3130 0.5828  3 Zn 2.61-2.65, 5 Cu 2.63-2.67, 4 Rh 2.72-2.84
Rh6 0.8333 0.6870 0.0828  3 Zn 2.61-2.65, 5 Cu 2.63-2.67, 4 Rh 2.72-2.84


[5]
Below is a relaxed Zn2CuRh crystal, with properties calculated at the PBE-GGA level.

Computed properties:
The raw total energy comes out at -15.3 eV/cell. The calculation puts the mass density at 9.17 g/cm3. Its space group is No. 123. As for the crystal system: tetragonal. Its formation energy is -0.33 eV per atom.

Cell lengths 3.8945, 3.8945, 3.5497 Å; angles 90.00, 90.00, 90.00 degrees
Closest atoms and distances in Å follow each position.
Atoms (fractional coordinates):
Zn1 0.0000 0.5000 0.0000  4 Cu 2.63, 4 Rh 2.63, 4 Zn 2.75
Zn2 0.5000 0.0000 0.0000  4 Cu 2.63, 4 Rh 2.63, 4 Zn 2.75
Cu1 0.0000 0.0000 0.5000  8 Zn 2.63, 4 Rh 2.75
Rh1 0.5000 0.5000 0.5000  8 Zn 2.63, 4 Cu 2.75


[6]
Below is a relaxed ZnCuRh3 crystal, with properties calculated at the PBE-GGA level.

Computed properties:
The raw total energy comes out at -21.4 eV/cell. The calculation puts the mass density at 7.80 g/cm3. Its space group is No. 221. As for the crystal system: cubic. As for the energy relative to the lowest polymorph listed for this composition: 0.116 eV per atom. Its formation energy is 1.21 eV per atom.

Cell lengths 4.5344, 4.5344, 4.5344 Å; angles 90.00, 90.00, 90.00 degrees
Closest atoms and distances in Å follow each position.
Atoms (fractional coordinates):
Zn1 0.0000 0.0000 0.0000  6 Rh 2.27
Cu1 0.5000 0.5000 0.5000  12 Rh 3.21
Rh1 0.0000 0.0000 0.5000  2 Zn 2.27
Rh2 0.0000 0.5000 0.0000  2 Zn 2.27
Rh3 0.5000 0.0000 0.0000  2 Zn 2.27


[7]
Below is a relaxed ZnCuRh crystal, with properties calculated at the PBE-GGA level.

Computed properties:
The raw total energy comes out at -12.6 eV/cell. The calculation puts the mass density at 7.69 g/cm3. Its space group is No. 10. As for the crystal system: monoclinic. As for the energy relative to the lowest polymorph listed for this composition: 0.202 eV per atom. Its formation energy is 0.04 eV per atom.

Cell lengths 4.2428, 2.7805, 4.2437 Å; angles 90.00, 90.14, 90.00 degrees
Closest atoms and distances in Å follow each position.
Atoms (fractional coordinates):
Zn1 0.0000 0.0000 0.0000  4 Rh 2.54, 2 Zn 2.78
Cu1 0.5000 0.0000 0.5000  4 Rh 2.54, 2 Cu 2.78
Rh1 0.5000 0.5000 0.0000  4 Zn 2.54, 4 Cu 2.54, 2 Rh 2.78


[8]
Below is a relaxed Zn3CuRh4 crystal, with properties calculated at the PBE-GGA level.

Computed properties:
The raw total energy comes out at -78.5 eV/cell. The calculation puts the mass density at 10.14 g/cm3. Its space group is No. 139. As for the crystal system: tetragonal. Its formation energy is -0.24 eV per atom.

Cell lengths 4.2659, 4.2659, 12.0832 Å; angles 90.00, 90.00, 90.00 degrees
Closest atoms and distances in Å follow each position.
Atoms (fractional coordinates):
Zn1 0.0000 0.0000 0.0000  8 Rh 2.61
Zn2 0.0000 0.0000 0.2508  8 Rh 2.61-2.63
Zn3 0.0000 0.0000 0.7492  8 Rh 2.61-2.63
Zn4 0.5000 0.5000 0.2492  8 Rh 2.61-2.63
Zn5 0.5000 0.5000 0.5000  8 Rh 2.61
Zn6 0.5000 0.5000 0.7508  8 Rh 2.61-2.63
Cu1 0.0000 0.0000 0.5000  8 Rh 2.61
Cu2 0.5000 0.5000 0.0000  8 Rh 2.61
Rh1 0.0000 0.5000 0.1241  2 Cu 2.61, 6 Zn 2.61-2.63
Rh2 0.0000 0.5000 0.3759  2 Cu 2.61, 6 Zn 2.61-2.63
Rh3 0.0000 0.5000 0.6241  2 Cu 2.61, 6 Zn 2.61-2.63
Rh4 0.0000 0.5000 0.8759  2 Cu 2.61, 6 Zn 2.61-2.63
Rh5 0.5000 0.0000 0.1241  2 Cu 2.61, 6 Zn 2.61-2.63
Rh6 0.5000 0.0000 0.3759  2 Cu 2.61, 6 Zn 2.61-2.63
Rh7 0.5000 0.0000 0.6241  2 Cu 2.61, 6 Zn 2.61-2.63
Rh8 0.5000 0.0000 0.8759  2 Cu 2.61, 6 Zn 2.61-2.63


[9]
Below is a relaxed Zn2CuRh crystal, with properties calculated at the PBE-GGA level.

Computed properties:
The raw total energy comes out at -58.6 eV/cell. The calculation puts the mass density at 9.07 g/cm3. Its space group is No. 216. As for the crystal system: cubic. Its formation energy is -0.17 eV per atom.

Cell lengths 6.0160, 6.0160, 6.0160 Å; angles 90.00, 90.00, 90.00 degrees
Closest atoms and distances in Å follow each position.
Atoms (fractional coordinates):
Zn1 0.0000 0.0000 0.0000  4 Rh 2.61, 4 Zn 2.61
Zn2 0.0000 0.5000 0.5000  4 Rh 2.61, 4 Zn 2.61
Zn3 0.2500 0.2500 0.2500  4 Cu 2.61, 4 Zn 2.61
Zn4 0.2500 0.7500 0.7500  4 Cu 2.61, 4 Zn 2.61
Zn5 0.5000 0.0000 0.5000  4 Rh 2.61, 4 Zn 2.61
Zn6 0.5000 0.5000 0.0000  4 Rh 2.61, 4 Zn 2.61
Zn7 0.7500 0.2500 0.7500  4 Cu 2.61, 4 Zn 2.61
Zn8 0.7500 0.7500 0.2500  4 Cu 2.61, 4 Zn 2.61
Cu1 0.0000 0.0000 0.5000  4 Rh 2.61, 4 Zn 2.61
Cu2 0.0000 0.5000 0.0000  4 Rh 2.61, 4 Zn 2.61
Cu3 0.5000 0.0000 0.0000  4 Rh 2.61, 4 Zn 2.61
Cu4 0.5000 0.5000 0.5000  4 Rh 2.61, 4 Zn 2.61
Rh1 0.2500 0.2500 0.7500  4 Zn 2.61, 4 Cu 2.61
Rh2 0.2500 0.7500 0.2500  4 Zn 2.61, 4 Cu 2.61
Rh3 0.7500 0.2500 0.2500  4 Zn 2.61, 4 Cu 2.61
Rh4 0.7500 0.7500 0.7500  4 Zn 2.61, 4 Cu 2.61


[10]
Below is a relaxed Zn2Cu8Rh crystal, with properties calculated at the PBE-GGA level.

Computed properties:
The raw total energy comes out at -41.4 eV/cell. The calculation puts the mass density at 8.45 g/cm3. Its space group is No. 12. As for the crystal system: monoclinic. Its formation energy is 0.12 eV per atom.

Cell lengths 6.7526, 6.7526, 4.3344 Å; angles 104.96, 104.96, 120.36 degrees
Closest atoms and distances in Å follow each position.
Atoms (fractional coordinates):
Zn1 0.1901 0.8099 0.0000  8 Cu 2.44-2.60
Zn2 0.8099 0.1901 0.0000  8 Cu 2.44-2.60
Cu1 0.0761 0.0761 0.3069  6 Cu 2.30-2.56, 2 Zn 2.51, 1 Rh 2.52
Cu2 0.1775 0.4044 0.8551  6 Cu 2.41-2.68, 2 Zn 2.51-2.60
Cu3 0.2866 0.7134 0.5000  2 Zn 2.44, 1 Rh 2.50, 4 Cu 2.66-2.68
Cu4 0.4044 0.1775 0.8551  6 Cu 2.41-2.68, 2 Zn 2.51-2.60
Cu5 0.5956 0.8225 0.1449  6 Cu 2.41-2.68, 2 Zn 2.51-2.60
Cu6 0.7134 0.2866 0.5000  2 Zn 2.44, 1 Rh 2.50, 4 Cu 2.66-2.68
Cu7 0.8225 0.5956 0.1449  6 Cu 2.41-2.68, 2 Zn 2.51-2.60
Cu8 0.9239 0.9239 0.6931  6 Cu 2.30-2.56, 2 Zn 2.51, 1 Rh 2.52
Rh1 0.5000 0.5000 0.5000  8 Cu 2.50-2.73


[11]
Below is a relaxed Zn6CuRh5 crystal, with properties calculated at the PBE-GGA level.

Computed properties:
The raw total energy comes out at -53.0 eV/cell. The calculation puts the mass density at 9.76 g/cm3. Its space group is No. 71. As for the crystal system: orthorhombic. Its formation energy is -0.38 eV per atom.

Cell lengths 7.3810, 7.3810, 7.3810 Å; angles 146.66, 131.06, 60.51 degrees
Closest atoms and distances in Å follow each position.
Atoms (fractional coordinates):
Zn1 0.0806 0.3323 0.7483  7 Rh 2.61-2.67, 1 Cu 2.63
Zn2 0.2460 0.0000 0.2460  6 Rh 2.57-2.61, 2 Cu 2.63
Zn3 0.4160 0.6677 0.7483  7 Rh 2.61-2.67, 1 Cu 2.63
Zn4 0.5840 0.3323 0.2517  7 Rh 2.61-2.67, 1 Cu 2.63
Zn5 0.7540 0.0000 0.7540  6 Rh 2.57-2.61, 2 Cu 2.63
Zn6 0.9194 0.6677 0.2517  7 Rh 2.61-2.67, 1 Cu 2.63
Cu1 0.5000 0.5000 0.0000  8 Zn 2.63
Rh1 0.0000 0.5000 0.5000  8 Zn 2.60-2.62
Rh2 0.1671 0.1671 0.0000  8 Zn 2.61
Rh3 0.3395 0.8395 0.5000  8 Zn 2.57-2.67
Rh4 0.6605 0.1605 0.5000  8 Zn 2.57-2.67
Rh5 0.8329 0.8329 0.0000  8 Zn 2.61


[12]
Below is a relaxed Zn4CuRh crystal, with properties calculated at the PBE-GGA level.

Computed properties:
The raw total energy comes out at -35.6 eV/cell. The calculation puts the mass density at 8.55 g/cm3. Its space group is No. 11. As for the crystal system: monoclinic. As for the energy relative to the lowest polymorph listed for this composition: 0.000 eV per atom. Its formation energy is -0.21 eV per atom.

Cell lengths 3.8685, 7.7773, 5.8541 Å; angles 90.00, 109.22, 90.00 degrees
Closest atoms and distances in Å follow each position.
Atoms (fractional coordinates):
Zn1 0.0000 0.0000 0.0000  2 Rh 2.63, 2 Cu 2.64, 8 Zn 2.72-2.74
Zn2 0.0000 0.5000 0.0000  2 Rh 2.63, 2 Cu 2.64, 8 Zn 2.72-2.74
Zn3 0.3266 0.0050 0.6531  6 Zn 2.57-2.74, 3 Cu 2.64-2.77, 3 Rh 2.70-2.72
Zn4 0.3266 0.4950 0.6531  6 Zn 2.57-2.74, 3 Cu 2.64-2.77, 3 Rh 2.70-2.72
Zn5 0.4987 0.7500 0.9958  2 Cu 2.61-2.62, 2 Rh 2.64, 8 Zn 2.72-2.74
Zn6 0.5013 0.2500 0.0042  2 Cu 2.61-2.62, 2 Rh 2.64, 8 Zn 2.72-2.74
Zn7 0.6734 0.5050 0.3469  6 Zn 2.57-2.74, 3 Cu 2.64-2.77, 3 Rh 2.70-2.72
Zn8 0.6734 0.9950 0.3469  6 Zn 2.57-2.74, 3 Cu 2.64-2.77, 3 Rh 2.70-2.72
Cu1 0.1610 0.2500 0.3223  10 Zn 2.61-2.77, 2 Rh 2.76
Cu2 0.8390 0.7500 0.6777  10 Zn 2.61-2.77, 2 Rh 2.76
Rh1 0.1605 0.7500 0.3215  10 Zn 2.63-2.72, 2 Cu 2.76
Rh2 0.8395 0.2500 0.6785  10 Zn 2.63-2.72, 2 Cu 2.76